## TbAuSeO (GGA-PBE)

Data for crystalline TbAuSeO at its relaxed geometry.

a = 5.5935 Å, b = 5.5894 Å, c = 9.4828 Å
α = 90.00°, β = 90.00°, γ = 90.00°
With the nearest neighbours (Å) after each atom.
Fractional positions:
O  0.5000  0.7496  0.0000  4 Tb 2.27
O  0.0000  0.7496  0.0000  4 Tb 2.27
O  0.5000  0.2504  0.0000  4 Tb 2.27
O  0.0000  0.2504  0.0000  4 Tb 2.27
Au  0.5000  0.2496  0.5000  4 Au 2.79-2.80, 4 Se 2.85
Au  0.0000  0.2496  0.5000  4 Au 2.79-2.80, 4 Se 2.85
Au  0.5000  0.7504  0.5000  4 Au 2.79-2.80, 4 Se 2.85
Au  0.0000  0.7504  0.5000  4 Au 2.79-2.80, 4 Se 2.85
Se  0.7500  0.5000  0.7164  4 Au 2.85
Se  0.7500  0.0000  0.2830  4 Au 2.85
Se  0.2500  0.0000  0.7170  4 Au 2.85
Se  0.2500  0.5000  0.2836  4 Au 2.85
Tb  0.7500  0.5000  0.1189  4 O 2.27
Tb  0.7500  0.0000  0.8818  4 O 2.27
Tb  0.2500  0.5000  0.8811  4 O 2.27
Tb  0.2500  0.0000  0.1182  4 O 2.27

Computed properties:
Its density is 10.101 g cm⁻³. The energy above the most stable polymorph in this dataset is 0.082 eV/atom. As for the volume: 296.5 Å³ per cell.